Run P
The following is a PBE calculation of crystalline SrAgMo3 at its relaxed geometry, from the Alexandria database.

- crystal system = cubic
- symmetry = Pm-3m
- Fermi-level density of states (states/eV per atom) = 1.65

```
SrAgMo3
1.0
4.772 0.000 0.000
0.000 4.772 0.000
0.000 0.000 4.772
Sr Mo Ag
1 3 1
Direct
0.000 0.000 0.000 Sr
0.000 0.500 0.000 Mo
0.000 0.000 0.500 Mo
0.500 0.000 0.000 Mo
0.500 0.500 0.500 Ag
```


Run Q
The following is a PBE calculation of crystalline SrAgMo3 at its relaxed geometry, from the Alexandria database.

- crystal system = cubic
- symmetry = Pm-3m
- Fermi-level density of states (states/eV per atom) = 2.82

```
SrAgMo3
1.0
-4.788 -0.535 -1.256
1.284 -0.209 -4.806
0.464 -4.946 0.339
Sr Mo Ag
1 3 1
Direct
0.500 0.500 0.500 Sr
0.000 0.500 0.000 Mo
0.000 0.000 0.500 Mo
0.500 0.000 0.000 Mo
0.000 0.000 0.000 Ag
```


Verdict on stability: run Q comes out on top.


Run P
The following is a PBE calculation of crystalline SrAgMo2 at its relaxed geometry, from the Alexandria database.

- crystal system = monoclinic
- symmetry = P2/m
- Fermi-level density of states (states/eV per atom) = 0.92

```
SrAgMo2
1.0
-0.105 -5.423 0.802
2.111 -0.351 -2.094
3.808 0.412 3.285
Ag Mo Sr
1 2 1
Direct
0.500 0.750 0.750 Ag
0.000 0.877 0.010 Mo
0.000 0.623 0.490 Mo
0.500 0.250 0.250 Sr
```


Run Q
The following is a PBE calculation of crystalline SrAgMo2 at its relaxed geometry, from the Alexandria database.

- crystal system = monoclinic
- symmetry = Cm
- Fermi-level density of states (states/eV per atom) = 0.73

```
SrAgMo2
1.0
4.848 -0.007 0.002
4.050 2.666 0.002
0.289 0.086 6.519
Ag Mo Sr
1 2 1
Direct
0.256 0.256 0.209 Ag
0.990 0.990 0.971 Mo
0.747 0.747 0.818 Mo
0.506 0.506 0.502 Sr
```


Run R
The following is a PBE calculation of crystalline SrAgMo2 at its relaxed geometry, from the Alexandria database.

- crystal system = tetragonal
- symmetry = P4mm
- Fermi-level density of states (states/eV per atom) = 1.32

```
SrAgMo2
1.0
3.319 0.000 0.000
0.000 3.319 0.000
0.000 0.000 7.873
Ag Mo Sr
1 2 1
Direct
0.500 0.500 0.797 Ag
0.000 0.000 0.032 Mo
0.500 0.500 0.177 Mo
0.000 0.000 0.495 Sr
```


Run S
The following is a PBE calculation of crystalline SrAgMo2 at its relaxed geometry, from the Alexandria database.

- crystal system = orthorhombic
- symmetry = Pmmm
- Fermi-level density of states (states/eV per atom) = 1.37

```
SrAgMo2
1.0
-2.807 1.395 -0.435
-0.723 -0.003 4.659
2.361 4.867 0.369
Ag Mo Sr
1 2 1
Direct
0.000 0.500 0.500 Ag
0.000 0.000 0.000 Mo
0.500 0.500 0.000 Mo
0.500 0.000 0.500 Sr
```


Verdict on stability: run R comes out on top.


Run P
The following is a PBE calculation of crystalline SrAgMo2 at its relaxed geometry, from the Alexandria database.

- crystal system = tetragonal
- symmetry = I4/mmm
- Fermi-level density of states (states/eV per atom) = 1.24

```
SrAgMo2
1.0
-2.354 5.127 1.871
-5.701 1.473 -0.807
3.369 -4.500 1.929
Ag Mo Sr
1 2 1
Direct
0.750 0.250 0.500 Ag
0.000 0.000 0.000 Mo
0.500 0.500 0.000 Mo
0.250 0.750 0.500 Sr
```


Run Q
The following is a PBE calculation of crystalline SrAgMo2 at its relaxed geometry, from the Alexandria database.

- crystal system = trigonal
- symmetry = R-3m
- Fermi-level density of states (states/eV per atom) = 1.17

```
SrAgMo2
1.0
-8.295 -5.554 4.214
-6.194 -7.411 4.911
-6.795 -5.188 6.657
Ag Mo Sr
1 2 1
Direct
0.750 0.750 0.750 Ag
0.008 0.008 0.008 Mo
0.492 0.492 0.492 Mo
0.250 0.250 0.250 Sr
```


Run R
The following is a PBE calculation of crystalline SrAgMo2 at its relaxed geometry, from the Alexandria database.

- crystal system = cubic
- symmetry = Fm-3m
- Fermi-level density of states (states/eV per atom) = 1.57

```
SrAgMo2
1.0
2.261 -3.553 2.280
2.743 0.960 3.806
-1.426 -1.327 4.374
Sr Mo Ag
1 2 1
Direct
0.000 0.000 0.000 Sr
0.250 0.250 0.250 Mo
0.750 0.750 0.750 Mo
0.500 0.500 0.500 Ag
```


Verdict on stability: run P comes out on top.


Run P
The following is a PBE calculation of crystalline SrAgMo2 at its relaxed geometry, from the Alexandria database.

- crystal system = monoclinic
- symmetry = C2/m
- Fermi-level density of states (states/eV per atom) = 0.86

```
SrAgMo2
1.0
-5.803 2.058 -1.194
-6.194 0.256 0.950
-1.335 3.868 3.007
Ag Mo Sr
1 2 1
Direct
0.250 0.250 0.250 Ag
0.977 0.977 0.022 Mo
0.523 0.523 0.478 Mo
0.750 0.750 0.750 Sr
```


Run Q
The following is a PBE calculation of crystalline SrAgMo2 at its relaxed geometry, from the Alexandria database.

- crystal system = orthorhombic
- symmetry = Cmmm
- Fermi-level density of states (states/eV per atom) = 0.72

```
SrAgMo2
1.0
5.888 0.022 0.000
-3.204 4.940 0.000
0.000 0.000 2.731
Ag Mo Sr
1 2 1
Direct
0.000 0.500 0.500 Ag
0.000 0.000 0.000 Mo
0.500 0.500 0.000 Mo
0.500 0.000 0.500 Sr
```


Run R
The following is a PBE calculation of crystalline SrAgMo2 at its relaxed geometry, from the Alexandria database.

- crystal system = orthorhombic
- symmetry = Cmm2
- Fermi-level density of states (states/eV per atom) = 0.83

```
SrAgMo2
1.0
3.001 0.000 0.000
-1.091 2.796 0.000
0.000 0.000 9.718
Ag Mo Sr
1 2 1
Direct
0.500 0.500 0.778 Ag
0.000 0.000 0.018 Mo
0.500 0.500 0.210 Mo
0.000 0.000 0.495 Sr
```


Run S
The following is a PBE calculation of crystalline SrAgMo2 at its relaxed geometry, from the Alexandria database.

- crystal system = tetragonal
- symmetry = P4/mmm
- Fermi-level density of states (states/eV per atom) = 0.92

```
SrAgMo2
1.0
-4.599 -1.922 1.648
-0.636 -1.557 -3.591
1.804 -3.346 1.131
Ag Mo Sr
1 2 1
Direct
0.500 0.000 0.500 Ag
0.000 0.000 0.000 Mo
0.000 0.500 0.500 Mo
0.500 0.500 0.000 Sr
```


Verdict on stability: run R comes out on top.


Run P
The following is a PBE calculation of crystalline SrAgMo2 at its relaxed geometry, from the Alexandria database.

- crystal system = tetragonal
- symmetry = I-42d
- Fermi-level density of states (states/eV per atom) = 0.77

```
SrAgMo2
1.0
-4.032 -0.831 1.440
0.560 -4.235 -0.878
2.041 -4.046 9.985
Sr Mo Ag
2 4 2
Direct
0.500 0.500 0.000 Sr
0.250 0.750 0.500 Sr
0.779 0.125 0.250 Mo
0.971 0.625 0.250 Mo
0.375 0.221 0.750 Mo
0.875 0.029 0.750 Mo
0.000 0.000 0.000 Ag
0.750 0.250 0.500 Ag
```


Run Q
The following is a PBE calculation of crystalline SrAgMo2 at its relaxed geometry, from the Alexandria database.

- crystal system = orthorhombic
- symmetry = Pmmm
- Fermi-level density of states (states/eV per atom) = 0.96

```
SrAgMo2
1.0
-2.089 1.582 -0.775
-3.358 -3.088 2.747
0.746 3.194 4.503
Ag Mo Sr
1 2 1
Direct
0.500 0.500 0.750 Ag
0.000 0.000 0.010 Mo
0.000 0.000 0.490 Mo
0.500 0.500 0.250 Sr
```


Verdict on stability: run Q comes out on top.


Run P
The following is a PBE calculation of crystalline SrAgMo2 at its relaxed geometry, from the Alexandria database.

- crystal system = orthorhombic
- symmetry = Cmmm
- Fermi-level density of states (states/eV per atom) = 0.68

```
SrAgMo2
1.0
2.774 0.030 0.000
-0.041 2.773 0.000
0.000 0.000 10.014
Ag Mo Sr
1 2 1
Direct
0.500 0.500 0.750 Ag
0.000 0.000 0.973 Mo
0.000 0.000 0.527 Mo
0.500 0.500 0.250 Sr
```


Run Q
The following is a PBE calculation of crystalline SrAgMo2 at its relaxed geometry, from the Alexandria database.

- crystal system = orthorhombic
- symmetry = Imm2
- Fermi-level density of states (states/eV per atom) = 0.87

```
SrAgMo2
1.0
-5.634 0.604 -1.484
-1.010 -0.330 -5.760
1.930 -2.746 4.800
Ag Mo Sr
1 2 1
Direct
0.226 0.726 0.500 Ag
0.968 0.968 0.000 Mo
0.796 0.296 0.500 Mo
0.510 0.510 0.000 Sr
```


Verdict on stability: run Q comes out on top.